VASP calculation (PBE+U) on LiAlVF6 after structural relaxation.

Computed properties:
SG = P-31c (163)
Total energy = -52.2 eV per formula unit
Magnetic moment = 3.0 μB per formula unit

abc: 5.1908 5.1908 8.8511
angles: 90.00 90.00 120.00
Last column: magnetic moment on the atom in μB.
Fractional positions:
F (0.6713, 0.6301, 0.1347)  0.00
F (0.6301, 0.6713, 0.6347)  0.00
F (0.3287, 0.9588, 0.6347)  0.00
F (0.3287, 0.3699, 0.8653)  0.00
F (0.9588, 0.6301, 0.3653)  0.00
F (0.3699, 0.0412, 0.1347)  0.00
F (0.9588, 0.3287, 0.1347)  0.00
F (0.6713, 0.0412, 0.3653)  0.00
F (0.0412, 0.6713, 0.8653)  0.00
F (0.6301, 0.9588, 0.8653)  0.00
F (0.3699, 0.3287, 0.3653)  0.00
F (0.0412, 0.3699, 0.6347)  0.00
Al (0.6667, 0.3333, 0.2500)  0.00
Al (0.3333, 0.6667, 0.7500)  0.00
V (0.6667, 0.3333, 0.7500)  2.77
V (0.3333, 0.6667, 0.2500)  2.77
Li (0.0000, 0.0000, 0.0000)  0.00
Li (0.0000, 0.0000, 0.5000)  0.00